First-principles (PBE) data for a relaxed structure of Sr2TaPt, as listed in Alexandria via LeMat-Bulk.

The formation enthalpy at 0 K is 0.6446 eV/atom. The value obtained for the total magnetic moment is 3.23 μB/f.u.

The structure belongs to space group I-4m2 (No. 119); the cell edges are 4.606, 4.606 and 9.981 Å and the angles 90.00°, 90.00° and 90.00°. The asymmetric unit holds Sr at (0.000, 0.000, 0.000), Sr at (0.000, 0.500, 0.250), Ta at (0.000, 0.500, 0.750) and Pt at (0.000, 0.000, 0.500).

---

First-principles (PBE) data for a relaxed structure of Sr2TaPt, as listed in Alexandria via LeMat-Bulk.

The formation enthalpy at 0 K is 0.0488 eV/atom. The value obtained for the total magnetic moment is 0.00 μB/f.u.

The structure belongs to space group Immm (No. 71); the cell edges are 3.679, 3.852 and 18.339 Å and the angles 90.00°, 90.00° and 90.00°. The asymmetric unit holds Sr at (0.000, 0.000, 0.151), Ta at (0.000, 0.500, 0.000) and Pt at (0.000, 0.500, 0.500).

---

First-principles (PBE) data for a relaxed structure of SrTaPt, as listed in Alexandria via LeMat-Bulk.

The formation enthalpy at 0 K is -0.3015 eV/atom. The value obtained for the total magnetic moment is 0.00 μB/f.u.

The structure belongs to space group Pmmn (No. 59, origin choice 2); the cell edges are 3.781, 4.497 and 8.665 Å and the angles 90.00°, 90.00° and 90.00°. The asymmetric unit holds Sr at (0.250, 0.250, 0.153), Ta at (0.250, 0.750, 0.489) and Pt at (0.250, 0.250, 0.720).

---

First-principles (PBE) data for a relaxed structure of SrTaPt, as listed in Alexandria via LeMat-Bulk.

The formation enthalpy at 0 K is -0.1232 eV/atom. The value obtained for the total magnetic moment is 0.00 μB/f.u.

The structure belongs to space group I4mm (No. 107); the cell edges are 3.491, 3.491 and 12.307 Å and the angles 90.00°, 90.00° and 90.00°. The asymmetric unit holds Sr at (0.000, 0.000, 0.000), Ta at (0.000, 0.000, 0.723) and Pt at (0.000, 0.000, 0.295).

---

Table of DFT total energy (eV/f.u.), in record order: -18.7 -21.1 -20.5 -19.9